Record 1
First-principles (PBE) data for a relaxed structure of Sm3Sc3Te2Pd, as listed in OQMD.

abc: 8.1056 8.1056 4.0346
angles: 90.00 90.00 120.00
Atoms (fractional coordinates):
1 Te 0.3333 0.6667 0.5000
2 Te 0.6667 0.3333 0.5000
3 Sm 0.6020 0.0000 0.0000
4 Sm 0.0000 0.6020 0.0000
5 Sm 0.3980 0.3980 0.0000
6 Sc 0.7632 0.7632 0.5000
7 Sc 0.2368 0.0000 0.5000
8 Sc 0.0000 0.2368 0.5000
9 Pd 0.0000 0.0000 0.0000

Properties
Theoretical density   6.9 g/cm³
Excess energy over the best structure of this formula in the dataset   0 meV per atom



Record 2
First-principles (PBE) data for a relaxed structure of Sm3Sc3Te2Pd, as listed in OQMD.

abc: 8.3905 8.3905 3.8177
angles: 90.00 90.00 120.00
Last column: magnetic moment on the atom in μB.
Atoms (fractional coordinates):
1 Sc 0.4030 0.4030 0.0000  0.05
2 Sc 0.0000 0.5970 0.0000  0.05
3 Sc 0.5970 0.0000 0.0000  0.06
4 Pd 0.0000 0.0000 0.0000  0.01
5 Sm 0.2559 0.0000 0.5000  0.03
6 Sm 0.7441 0.7441 0.5000  0.03
7 Sm 0.0000 0.2559 0.5000  0.03
8 Te 0.6667 0.3333 0.5000  0.00
9 Te 0.3333 0.6667 0.5000  0.00

Properties
Theoretical density   6.8 g/cm³
Excess energy over the best structure of this formula in the dataset   174 meV per atom



Record 3
First-principles (PBE) data for a relaxed structure of Sc2Sn2Pd, as listed in OQMD.

abc: 7.1305 7.1305 7.1305
angles: 144.56 144.56 50.99
Last column: magnetic moment on the atom in μB.
Atoms (fractional coordinates):
1 Pd 0.0000 0.0000 0.0000  0.02
2 Sc 0.2500 0.7500 0.5000  0.38
3 Sc 0.7500 0.2500 0.5000  0.38
4 Sn 0.3989 0.3989 0.0000  0.02
5 Sn 0.6011 0.6011 0.0000  0.02

Properties
Theoretical density   5.9 g/cm³
Excess energy over the best structure of this formula in the dataset   218 meV per atom



Record 4
First-principles (PBE) data for a relaxed structure of Sc2Sn2Pd, as listed in OQMD.

abc: 8.0168 8.0168 8.0168
angles: 151.47 151.47 40.79
Atoms (fractional coordinates):
1 Sc 0.5948 0.5948 0.0000
2 Sc 0.4052 0.4052 0.0000
3 Pd 0.0000 0.0000 0.0000
4 Sn 0.2500 0.7500 0.5000
5 Sn 0.7500 0.2500 0.5000

Properties
Theoretical density   6.1 g/cm³
Excess energy over the best structure of this formula in the dataset   0 meV per atom



Record 5
First-principles (PBE) data for a relaxed structure of ScSn2Pd, as listed in OQMD.

abc: 4.9444 4.9444 4.9444
angles: 60.00 60.00 60.00
Atoms (fractional coordinates):
1 Sn 0.2500 0.2500 0.2500
2 Sn 0.0000 0.0000 0.0000
3 Pd 0.5000 0.5000 0.5000
4 Sc 0.7500 0.7500 0.7500

Properties
Theoretical density   7.6 g/cm³
VASP energy   -20.840 eV for the cell shown



Record 6
First-principles (PBE) data for a relaxed structure of ScTaSn2Pd2, as listed in OQMD.

abc: 6.2967 4.4375 8.9081
angles: 90.00 90.00 90.00
Atoms (fractional coordinates):
1 Ta 0.4978 0.0000 0.1267
2 Ta 0.9978 0.5000 0.8733
3 Pd 0.2575 0.0000 0.3657
4 Pd 0.7419 0.5000 0.1157
5 Pd 0.2419 0.0000 0.8843
6 Pd 0.7575 0.5000 0.6343
7 Sc 0.5026 0.0000 0.6219
8 Sc 0.0026 0.5000 0.3781
9 Sn 0.9926 0.0000 0.1265
10 Sn 0.5076 0.5000 0.3749
11 Sn 0.0076 0.0000 0.6251
12 Sn 0.4926 0.5000 0.8735

Properties
Theoretical density   9.0 g/cm³
VASP energy   -79.896 eV for the cell shown



Record 7
First-principles (PBE) data for a relaxed structure of SrScPd, as listed in OQMD.

abc: 4.8732 4.8732 4.8732
angles: 60.00 60.00 60.00
Atoms (fractional coordinates):
1 Sr 0.0000 0.0000 0.0000
2 Sc 0.7500 0.7500 0.7500
3 Pd 0.2500 0.2500 0.2500

Properties
Theoretical density   4.8 g/cm³
Excess energy over the best structure of this formula in the dataset   787 meV per atom



Record 8
First-principles (PBE) data for a relaxed structure of Sr2ScPd, as listed in OQMD.

abc: 5.4085 5.4085 5.4085
angles: 60.00 60.00 60.00
Atoms (fractional coordinates):
1 Pd 0.2500 0.2500 0.2500
2 Sr 0.5000 0.5000 0.5000
3 Sr 0.7500 0.7500 0.7500
4 Sc 0.0000 0.0000 0.0000

Properties
Theoretical density   4.8 g/cm³
VASP energy   -14.303 eV for the cell shown